ReP2Pt | meta-GGA SCAN | single point on PBEsol structure

Calculated values
Energy of formation from the pure elements (eV/atom): 0.493
SG: No. 47
Energy above the lowest structure with this stoichiometry (eV/atom): 0.090

Lattice parameters (Å, degrees): 2.9737 3.9040 4.9294 90.00 90.00 90.00
Closest atoms and distances in Å follow each position.
Element x y z (fractional)
Pt 0.5000 0.5000 0.0000  4 P 2.45
P 0.0000 0.0000 0.0000  4 Pt 2.45
P 0.5000 0.0000 0.5000  4 Re 2.45
Re 0.0000 0.5000 0.5000  4 P 2.45